The following is a GGA-PBE calculation of crystalline SrSi3 at its relaxed geometry, from Alexandria via LeMat-Bulk.

```
SrSi3
1.0
-3.128 -4.228 1.246
2.805 -4.604 0.383
0.619 4.938 2.108
Si Sr
3 1
Cartesian
1.632 -2.041 1.653
-0.161 -4.416 0.814
-1.335 -1.853 2.084
0.000 0.000 0.000
```

Properties
Energy relative to the elements, uncorrected in eV/atom: 0.288
Symmetry: I4/mmm (139)

***

The following is a GGA-PBE calculation of crystalline Sr2Si at its relaxed geometry, from Alexandria via LeMat-Bulk.

```
Sr2Si
1.0
-2.209 -4.314 1.058
4.237 0.050 -2.579
3.050 -0.334 5.004
Sr Si
2 1
Cartesian
2.306 -3.119 3.727
2.773 -1.479 -0.244
0.000 0.000 0.000
```

Properties
Energy relative to the elements, uncorrected in eV/atom: -0.136
Symmetry: P-3m1 (164)

***

The following is a GGA-PBE calculation of crystalline Sr2Si at its relaxed geometry, from Alexandria via LeMat-Bulk.

```
Sr2Si
1.0
2.277 6.857 -0.020
-2.277 6.857 -0.020
0.000 5.545 7.083
Sr Si
4 2
Cartesian
0.000 10.679 6.115
0.000 8.581 0.927
0.000 4.803 2.842
0.000 14.457 4.200
0.000 6.199 6.022
0.000 13.061 1.021
```

Properties
Energy relative to the elements, uncorrected in eV/atom: -0.256
Symmetry: C2/m (12)

***

The following is a GGA-PBE calculation of crystalline SrSi3 at its relaxed geometry, from Alexandria via LeMat-Bulk.

```
SrSi3
1.0
-1.617 -2.527 2.456
-0.476 -0.436 -3.823
5.630 -3.858 -0.261
Si Sr
3 1
Cartesian
0.404 -0.277 -0.019
2.411 -1.652 -0.112
0.171 -2.794 0.298
2.986 -4.723 0.167
```

Properties
Energy relative to the elements, uncorrected in eV/atom: 0.045
Symmetry: P-6m2 (187)